# FeSiBP

A geometry-optimized FeSiBP structure (GGA-PBE, Alexandria).

abc: 6.661 3.098 5.351
angles: 90.00 105.46 90.00
Site moments in Bohr magnetons follow the coordinates.
Atoms (fractional coordinates):
P 0.880 0.500 0.558  -0.01
Fe 0.524 0.500 0.441  1.31
Si 0.299 0.000 0.532  -0.05
B 0.979 0.000 0.424  0.01
Si 0.299 0.500 0.032  -0.05
Fe 0.524 0.000 0.941  1.31
B 0.979 0.500 0.924  0.01
P 0.880 0.000 0.058  -0.01

Calculated values
- M_tot: 1.2 μB/f.u.
- Volume: 106.4 Å³ per cell
- Energy: -6.44 eV per atom
- Distance to the lowest polymorph of the same formula: 146 meV per atom